Density functional theory data (PBE with a Hubbard U) for V2MoF after structural relaxation.

a = 6.691 Å, b = 6.691 Å, c = 5.672 Å
α = 53.85°, β = 53.85°, γ = 90.00°
Site moments in Bohr magnetons follow the coordinates.
Fractional coordinates of all 8 atoms:
Mo  0.000  0.000  0.000  -3.41
Mo  0.750  0.250  0.500  -3.41
V  0.530  0.125  0.250  2.69
V  0.220  0.625  0.250  2.69
V  0.375  0.470  0.750  2.69
V  0.875  0.780  0.750  2.69
F  0.500  0.500  0.000  -0.02
F  0.250  0.750  0.500  -0.02

Values from the calculation:
Its energy above the lowest structure with this stoichiometry is 0.00 eV per formula unit.